(1)
Compound: KHgPd2
Source: Alexandria
Functional: PBE
Structure: relaxed

extended XYZ file:
```
8
Lattice="-3.083 1.322 -3.388 -3.634 -4.366 1.603 -3.703 5.042 5.336" Properties=species:S:1:pos:R:3 pbc="T T T"
Hg -1.726 -2.074 0.762
Hg -5.301 0.890 1.816
Pd -4.355 1.104 4.393
Pd -6.375 2.754 3.520
Pd -3.913 -0.598 -0.027
Pd -3.114 -0.586 2.604
K -1.937 2.419 2.706
K -5.090 -3.603 -0.128
```

Calculated values
energy of formation from the pure elements: -0.144 eV/atom
calculated density: 6.5 g/cm³

(2)
Compound: RbGaCl2
Source: Alexandria
Functional: PBE
Structure: relaxed

extended XYZ file:
```
4
Lattice="2.725 0.000 8.996 -1.362 2.360 8.996 -1.362 -2.360 8.996" Properties=species:S:1:pos:R:3 pbc="T T T"
Ga 0.000 0.000 13.494
Cl 0.000 0.000 2.959
Cl 0.000 0.000 24.029
Rb 0.000 0.000 0.000
```

Calculated values
E above lowest polymorph: 1.21 eV/f.u.
calculated density: 2.2 g/cm³
energy relative to the elements, uncorrected: -0.99 eV/atom

(3)
Compound: AcTmOs
Source: Alexandria
Functional: PBE
Structure: relaxed

extended XYZ file:
```
3
Lattice="-0.322 0.442 4.925 2.891 -2.760 2.930 3.689 2.116 2.544" Properties=species:S:1:pos:R:3 pbc="T T T"
Ac 3.129 -0.101 5.200
Os 1.564 -0.050 2.600
Tm 0.000 0.000 0.000
```

Calculated values
energy of formation from the pure elements: -0.070 eV/atom
E above lowest polymorph: 0.05 eV/f.u.
calculated density: 11.3 g/cm³

(4)
Compound: Dy2TiIr2
Source: Alexandria
Functional: PBE
Structure: relaxed

extended XYZ file:
```
10
Lattice="5.688 0.216 0.960 2.692 5.015 0.960 0.187 0.117 7.611" Properties=species:S:1:pos:R:3 pbc="T T T"
Dy 5.179 4.123 7.741
Dy 2.681 2.563 5.596
Dy 5.885 2.784 3.935
Dy 3.387 1.225 1.790
Ir 6.572 1.709 8.825
Ir 4.328 5.096 5.020
Ir 4.238 0.252 4.511
Ir 1.994 3.639 0.706
Ti 3.070 4.514 2.863
Ti 5.497 0.834 6.668
```

Calculated values
energy of formation from the pure elements: -0.801 eV/atom
calculated density: 11.9 g/cm³

(5)
Compound: Ho2CuAgS4
Source: Alexandria
Functional: PBE
Structure: relaxed

extended XYZ file:
```
16
Lattice="7.737 0.687 -0.080 0.682 7.738 -0.080 -4.223 -4.226 6.037" Properties=species:S:1:pos:R:3 pbc="T T T"
Cu 2.098 2.100 2.938
Cu 3.514 -3.539 5.957
S 0.652 3.819 3.131
S 1.794 -2.093 5.764
S 6.213 6.081 0.123
S -0.244 -0.108 3.221
S 4.441 4.307 2.655
S -2.017 -1.882 5.754
S 3.545 0.380 2.746
S 2.403 6.292 0.112
Ho 1.757 -1.769 2.978
Ho -2.111 -2.113 3.019
Ho 3.869 0.344 -0.040
Ho 4.210 4.213 -0.080
Ag 0.341 3.869 -0.040
Ag 5.967 2.443 2.898
```

Calculated values
calculated density: 5.9 g/cm³
energy relative to the elements, uncorrected: -1.24 eV/atom

(6)
Compound: CsHfAg2C
Source: Alexandria
Functional: PBE
Structure: relaxed

extended XYZ file:
```
5
Lattice="-0.044 -0.564 4.349 -2.909 -4.856 -0.659 3.770 -2.225 -0.250" Properties=species:S:1:pos:R:3 pbc="T T T"
C 0.000 0.000 0.000
Ag 1.885 -1.113 -0.125
Ag -0.022 -0.282 2.174
Cs -1.455 -2.428 -0.330
Hf 0.408 -3.822 1.720
```

Calculated values
energy of formation from the pure elements: 1.675 eV/atom
calculated density: 8.2 g/cm³

(7)
Compound: RbMg4Sb2Te
Source: Alexandria
Functional: PBE
Structure: relaxed

extended XYZ file:
```
8
Lattice="-0.405 4.416 -1.991 1.812 -1.714 -4.172 -10.264 -2.490 -3.436" Properties=species:S:1:pos:R:3 pbc="T T T"
Mg -8.766 0.131 -3.862
Mg -0.794 -1.270 -2.655
Mg -7.657 -2.935 -4.953
Mg -1.903 1.796 -1.565
Rb -5.132 -1.245 -1.718
Sb -2.369 0.605 -4.110
Sb -6.488 -0.394 -5.489
Te 0.000 0.000 0.000
```

Calculated values
calculated density: 3.5 g/cm³
energy relative to the elements, uncorrected: -0.43 eV/atom

(8)
Compound: NaSr3Pt
Source: Alexandria
Functional: PBE
Structure: relaxed

extended XYZ file:
```
10
Lattice="-3.161 1.918 -2.458 2.549 -4.839 -7.054 -13.219 -3.901 -2.101" Properties=species:S:1:pos:R:3 pbc="T T T"
Sr -8.560 -5.048 -4.974
Sr -2.623 0.597 -4.181
Sr -11.208 -7.420 -7.432
Sr -4.134 -3.933 -9.787
Sr -5.272 -1.774 -6.639
Sr -9.697 -2.889 -1.826
Na -8.038 -3.863 -8.726
Na -5.794 -2.959 -2.887
Pt -10.809 -3.122 -4.588
Pt -3.023 -3.701 -7.025
```

Calculated values
energy of formation from the pure elements: -0.366 eV/atom
E above lowest polymorph: 0.36 eV/f.u.
calculated density: 3.8 g/cm³